{"formula": "Na2MnReO6", "functional": "PBE+U", "state": "optimized geometry", "lattice": [[-2.7631, -2.0146, 4.0908], [-0.9225, -5.4524, 0.1965], [2.6252, -3.3551, 3.5601]], "species": ["Na", "Na", "Mn", "Re", "O", "O", "O", "O", "O", "O"], "fractional_positions": [[0.5625, 0.5731, 0.3078], [0.0698, 0.0592, 0.7954], [0.8161, 0.8161, 0.5516], [0.3162, 0.3162, 0.0515], [0.5756, 0.1514, 0.2872], [0.1194, 0.0184, 0.3470], [0.0485, 0.5774, 0.2450], [0.5130, 0.6140, 0.7560], [0.5838, 0.0549, 0.8580], [0.0568, 0.4809, 0.8157]], "dos_at_fermi_per_ev_atom": 0.0776, "energy_ev_per_atom": -6.88, "magnetic_moment_mub_per_atom": 0.400, "sg": "P-1, No. 2"}